Ho6Ge2BiTe3 | GGA-PBE | optimized geometry

Results
Theoretical density: 8.44 g/cm3
Energy relative to the elements, uncorrected: -1153.3 meV per atom
Space-group type: C2/m, No. 12

Cell and atoms, written as POSCAR:
```
Ho6Ge2BiTe3
1.0
-2.855 3.175 0.348
-6.370 -5.825 0.879
4.218 -0.045 8.668
Ho Ge Bi Te
6 2 1 3
Cartesian
-3.809 -4.150 6.620
-4.069 -1.180 3.756
-1.198 1.454 3.275
-1.561 -1.452 0.443
-3.446 -1.244 9.452
-0.938 -1.516 6.139
-3.803 -1.255 6.623
-1.204 -1.441 3.272
-1.428 1.587 0.174
-4.613 -1.325 0.613
-0.600 1.662 6.288
-4.407 -4.358 3.606
```